VASP calculation (PBE-GGA) on a relaxed MnNi7Pt2 crystal. Values from VASP.

Quantum ESPRESSO input file:
```
&SYSTEM
  ibrav = 0, nat = 10, ntyp = 3
/
ATOMIC_SPECIES
Mn 54.94 Mn.upf
Ni 58.69 Ni.upf
Pt 195.08 Pt.upf
CELL_PARAMETERS angstrom
-3.0699 2.6621 1.2048
-5.3330 -1.0159 -3.8852
-0.5619 -0.2802 6.6463
ATOMIC_POSITIONS angstrom
Mn 0.0000 0.0000 0.0000
Ni -3.4975 -0.7328 0.1665
Ni -2.3975 -0.5632 2.5946
Ni -2.8980 1.7869 3.5764
Ni -6.0669 -0.4209 0.3896
Ni -4.6862 1.5111 -0.3708
Ni -4.2787 -0.1452 4.3368
Ni -4.4824 0.6830 1.9830
Pt -6.2921 0.4040 -2.0115
Pt -2.6728 0.9620 5.9775
```

- Density of states at the Fermi level: 16.0 states/eV per cell
- Total energy: -61.63 eV per formula unit